(1)
Material: LuTlO2
Method: DFT, PBE-GGA
State: optimized geometry

Its crystal system is trigonal. The total moment is 0.000 μB per atom. Its uncorrected formation energy is -2432 meV per atom.

a b c (Å): 3.4096 3.4096 19.5317
angles (deg): 90.00 90.00 120.00
With the nearest neighbours (Å) after each atom.
Space group R-3m (No. 166, hexagonal axes)
Symmetry-distinct sites (fractional):
Lu  0.0000  0.0000  0.0000 x3  6 O 2.25
Tl  0.0000  0.0000  0.5000 x3  6 O 2.93
O  0.0000  0.0000  0.2775 x6  3 Lu 2.25

***

(2)
Material: La2Nd6Y3In
Method: DFT, PBE-GGA
State: optimized geometry

Its crystal system is monoclinic. The total moment is 0.000 μB per atom. Its density of states at the Fermi level is 30.6 states/eV/cell. For the total energy, the calculation gives -61.33 eV/f.u.

a b c (Å): 6.2492 10.8361 12.0139
angles (deg): 90.00 100.01 90.00
With the nearest neighbours (Å) after each atom.
Space group C2/m (No. 12)
Symmetry-distinct sites (fractional):
La  0.0000  0.1666  0.0000 x4  3 In 3.61, 3 La 3.61, 6 Nd 3.65
Nd  0.2406  0.5000  0.7485 x4  6 Nd 3.51-3.66, 3 Y 3.59-3.64, 1 In 3.60, 2 La 3.65
Nd  0.2457  0.3377  0.2512 x8  6 Nd 3.51-3.66, 3 Y 3.59-3.64, 1 In 3.60, 2 La 3.65
Y  0.0000  0.0000  0.5000 x2  6 Nd 3.59-3.64, 6 Y 3.61
Y  0.0000  0.3330  0.5000 x4  6 Nd 3.59-3.64, 6 Y 3.61-3.62
In  0.0000  0.5000  0.0000 x2  6 Nd 3.60, 6 La 3.61

***

(3)
Material: CdTcAu2S
Method: DFT, PBE-GGA
State: optimized geometry

Its crystal system is tetragonal. The total moment is 0.184 μB per atom. Its density of states at the Fermi level is 3.7 states/eV/cell. Its uncorrected formation energy is 446 meV per atom.

a b c (Å): 5.2486 5.2486 4.3232
angles (deg): 90.00 90.00 90.00
With the nearest neighbours (Å) after each atom.
Space group P4/mmm (No. 123)
Symmetry-distinct sites (fractional):
Cd  0.0000  0.0000  0.0000 x1  8 Au 3.40, 4 S 3.71
Tc  0.5000  0.5000  0.5000 x1  2 S 2.16
Au  0.0000  0.5000  0.5000 x2  2 Tc 2.62
S  0.5000  0.5000  0.0000 x1  2 Tc 2.16

***

(4)
Material: PrSnSbRh2
Method: DFT, PBE-GGA
State: optimized geometry

Its crystal system is orthorhombic. The total moment is 0.000 μB per atom. Its density of states at the Fermi level is 13.2 states/eV/cell. Its uncorrected formation energy is -642 meV per atom.

a b c (Å): 4.5013 14.2010 7.0745
angles (deg): 90.00 90.00 90.00
With the nearest neighbours (Å) after each atom.
Space group Cmcm (No. 63)
Symmetry-distinct sites (fractional):
Pr  0.0000  0.1207  0.2500 x4  6 Rh 3.11-3.19, 4 Sb 3.34
Sn  0.0000  0.1877  0.7500 x4  6 Rh 2.69-2.72
Sb  0.0000  0.5000  0.0000 x4  2 Rh 2.67
Rh  0.0000  0.3134  0.0409 x8  1 Sb 2.67, 3 Sn 2.69-2.72, 3 Rh 2.94-2.96

***

(5)
Material: DyHoCo
Method: DFT, PBE-GGA
State: optimized geometry

Its crystal system is monoclinic. The total moment is 0.217 μB per atom. Its energy above the most stable polymorph in this dataset is 1.6 kJ per mole of atoms. Its density of states at the Fermi level is 8.7 states/eV/cell.

a b c (Å): 13.0365 3.3544 6.7111
angles (deg): 90.00 104.91 90.00
With the nearest neighbours (Å) after each atom.
Space group C2/m (No. 12)
Symmetry-distinct sites (fractional):
Dy  0.1281  0.0000  0.0642 x4  4 Co 2.87-2.88
Ho  0.1279  0.0000  0.5637 x4  4 Co 2.86
Co  0.9998  0.5000  0.2515 x4  4 Ho 2.86, 4 Dy 2.87-2.88

***

(6)
Material: InIr3Se
Method: DFT, PBE-GGA
State: optimized geometry

Its crystal system is cubic. The total moment is 0.000 μB per atom. Its energy above the most stable polymorph in this dataset is 0.0 kJ per mole of atoms. Its density of states at the Fermi level is 6.0 states/eV/cell. Its uncorrected formation energy is 1043 meV per atom.

a b c (Å): 4.6210 4.6210 4.6210
angles (deg): 90.00 90.00 90.00
With the nearest neighbours (Å) after each atom.
Space group Pm-3m (No. 221)
Symmetry-distinct sites (fractional):
In  0.0000  0.0000  0.0000 x1  12 Ir 3.27
Ir  0.0000  0.5000  0.5000 x3  2 Se 2.31
Se  0.5000  0.5000  0.5000 x1  6 Ir 2.31

***

(7)
Material: Ca2ZnNiC
Method: DFT, PBE-GGA
State: optimized geometry

Its crystal system is tetragonal. The total moment is 0.000 μB per atom. Its density of states at the Fermi level is 2.2 states/eV/cell. For the total energy, the calculation gives -20.82 eV/f.u.

a b c (Å): 5.1422 5.1422 3.6318
angles (deg): 90.00 90.00 90.00
With the nearest neighbours (Å) after each atom.
Space group P4/mmm (No. 123)
Symmetry-distinct sites (fractional):
Ca  0.0000  0.5000  0.0000 x2  2 C 2.57
Zn  0.0000  0.0000  0.5000 x1  8 Ca 3.15
Ni  0.5000  0.5000  0.5000 x1  2 C 1.82
C  0.5000  0.5000  0.0000 x1  2 Ni 1.82

***

(8)
Material: ZrAsAuBr2
Method: DFT, PBE-GGA
State: optimized geometry

Its crystal system is tetragonal. The total moment is 0.000 μB per atom. Its energy above the most stable polymorph in this dataset is 0.0 kJ per mole of atoms. Its density of states at the Fermi level is 2.1 states/eV/cell. Its uncorrected formation energy is -102 meV per atom.

a b c (Å): 5.1971 5.1971 5.4511
angles (deg): 90.00 90.00 90.00
With the nearest neighbours (Å) after each atom.
Space group P4/mmm (No. 123)
Symmetry-distinct sites (fractional):
Zr  0.0000  0.0000  0.0000 x1  4 Br 2.60, 2 As 2.73
As  0.0000  0.0000  0.5000 x1  2 Zr 2.73
Au  0.5000  0.5000  0.5000 x1  4 As 3.67, 8 Br 3.77
Br  0.0000  0.5000  0.0000 x2  2 Zr 2.60

***

no.,calculated volume (Å³ per atom)
1,16.4
2,33.4
3,23.8
4,22.6
5,23.6
6,19.7
7,19.2
8,29.4